This record from the Alexandria database describes SrPAu after structural relaxation. The functional is PBE.

Values from the calculation:
Formation energy = -342 meV per atom

```
data_SrPAu
_chemical_formula_sum 'Sr4 P4 Au4'
_cell_length_a 4.572
_cell_length_b 6.814
_cell_length_c 10.411
_cell_angle_alpha 90.00
_cell_angle_beta 90.00
_cell_angle_gamma 90.00
_symmetry_space_group_name_H-M 'F m m 2'
_symmetry_Int_Tables_number 42
_symmetry_space_group_name_Hall 'F 2 -2'
loop_
_atom_site_label
_atom_site_type_symbol
_atom_site_fract_x
_atom_site_fract_y
_atom_site_fract_z
Sr1 Sr 0.000 0.000 0.000
P1 P 0.000 0.000 0.298
Au1 Au 0.000 0.000 0.713
```



This record from the Alexandria database describes Ac2In4Cu3Pd after structural relaxation. The functional is PBE.

Values from the calculation:
Formation energy = -366 meV per atom

```
data_Ac2In4Cu3Pd
_chemical_formula_sum 'Ac2 In4 Cu3 Pd1'
_cell_length_a 4.659
_cell_length_b 4.659
_cell_length_c 10.814
_cell_angle_alpha 90.00
_cell_angle_beta 90.00
_cell_angle_gamma 90.00
_symmetry_space_group_name_H-M 'P -4 m 2'
_symmetry_Int_Tables_number 115
loop_
_symmetry_equiv_pos_as_xyz
'x,y,z'
'y,-x,-z'
'-x,-y,z'
'-y,x,-z'
'-x,y,z'
'-y,-x,-z'
'x,-y,z'
'y,x,-z'
loop_
_atom_site_label
_atom_site_type_symbol
_atom_site_fract_x
_atom_site_fract_y
_atom_site_fract_z
Ac1 Ac 0.000 0.500 0.238
In1 In 0.000 0.000 0.500
In2 In 0.000 0.500 0.876
In3 In 0.500 0.500 0.500
Cu1 Cu 0.000 0.000 0.000
Cu2 Cu 0.000 0.500 0.633
Pd1 Pd 0.500 0.500 0.000
```



In order of appearance, N(E_F) = 0.527 0.617 states/eV/atom.